(1)
# YBeNbOs

A relaxed YBeNbOs crystal (PBE, OQMD).

a = 6.4252 Å, b = 6.4252 Å, c = 6.4252 Å
α = 90.00°, β = 90.00°, γ = 90.00°
Space group F-43m (No. 216)
Symmetry-distinct sites (fractional):
Y (0.0000, 0.0000, 0.0000) x4
Be (0.0000, 0.0000, 0.5000) x4
Nb (0.2500, 0.2500, 0.7500) x4
Os (0.2500, 0.2500, 0.2500) x4

The value obtained for the energy above the most stable polymorph in this dataset is 0.456 eV per atom.



(2)
# PaBeNb

A relaxed PaBeNb crystal (PBE, OQMD).

a = 6.1269 Å, b = 6.1269 Å, c = 6.1269 Å
α = 90.00°, β = 90.00°, γ = 90.00°
Space group F-43m (No. 216)
Symmetry-distinct sites (fractional):
Pa (0.0000, 0.0000, 0.0000) x4
Be (0.2500, 0.2500, 0.7500) x4
Nb (0.0000, 0.0000, 0.5000) x4

The value obtained for the energy above the most stable polymorph in this dataset is 0.000 eV per atom.



(3)
# PaBeNb

A relaxed PaBeNb crystal (PBE, OQMD).

a = 6.2491 Å, b = 6.2491 Å, c = 6.2491 Å
α = 90.00°, β = 90.00°, γ = 90.00°
Space group F-43m (No. 216)
Symmetry-distinct sites (fractional):
Pa (0.0000, 0.0000, 0.0000) x4
Be (0.2500, 0.2500, 0.7500) x4
Nb (0.2500, 0.2500, 0.2500) x4

The value obtained for the energy above the most stable polymorph in this dataset is 0.792 eV per atom.



(4)
# BeNbPb

A relaxed BeNbPb crystal (PBE, OQMD).

a = 6.3960 Å, b = 6.3960 Å, c = 6.3960 Å
α = 90.00°, β = 90.00°, γ = 90.00°
Space group F-43m (No. 216)
Symmetry-distinct sites (fractional):
Be (0.0000, 0.0000, 0.0000) x4
Nb (0.0000, 0.0000, 0.5000) x4
Pb (0.2500, 0.2500, 0.2500) x4

The value obtained for the energy above the most stable polymorph in this dataset is 0.117 eV per atom.



(5)
# Be2NbPb

A relaxed Be2NbPb crystal (PBE, OQMD).

a = 6.4353 Å, b = 6.4353 Å, c = 6.4353 Å
α = 90.00°, β = 90.00°, γ = 90.00°
Space group F-43m (No. 216)
Symmetry-distinct sites (fractional):
Be (0.0000, 0.0000, 0.0000) x4
Be (0.2500, 0.2500, 0.2500) x4
Nb (0.2500, 0.2500, 0.7500) x4
Pb (0.0000, 0.0000, 0.5000) x4

As for the calculated total energy: -4.36 eV/atom.



(6)
# BeNb2Pb

A relaxed BeNb2Pb crystal (PBE, OQMD).

a = 6.6017 Å, b = 6.6017 Å, c = 6.6017 Å
α = 90.00°, β = 90.00°, γ = 90.00°
Space group F-43m (No. 216)
Symmetry-distinct sites (fractional):
Be (0.0000, 0.0000, 0.0000) x4
Nb (0.0000, 0.0000, 0.5000) x4
Nb (0.2500, 0.2500, 0.2500) x4
Pb (0.2500, 0.2500, 0.7500) x4

As for the calculated total energy: -6.29 eV/atom.



(7)
# BeNbPb

A relaxed BeNbPb crystal (PBE, OQMD).

a = 6.4093 Å, b = 6.4093 Å, c = 6.4093 Å
α = 90.00°, β = 90.00°, γ = 90.00°
Space group F-43m (No. 216)
Symmetry-distinct sites (fractional):
Be (0.0000, 0.0000, 0.0000) x4
Nb (0.2500, 0.2500, 0.2500) x4
Pb (0.0000, 0.0000, 0.5000) x4

The value obtained for the energy above the most stable polymorph in this dataset is 0.000 eV per atom.



(8)
# BeNbRePb

A relaxed BeNbRePb crystal (PBE, OQMD).

a = 6.4151 Å, b = 6.4151 Å, c = 6.4151 Å
α = 90.00°, β = 90.00°, γ = 90.00°
Space group F-43m (No. 216)
Symmetry-distinct sites (fractional):
Be (0.0000, 0.0000, 0.0000) x4
Nb (0.2500, 0.2500, 0.2500) x4
Re (0.2500, 0.2500, 0.7500) x4
Pb (0.0000, 0.0000, 0.5000) x4

The value obtained for the energy above the most stable polymorph in this dataset is 0.205 eV per atom.



(9)
# BeNbRePb

A relaxed BeNbRePb crystal (PBE, OQMD).

a = 6.4321 Å, b = 6.4321 Å, c = 6.4321 Å
α = 90.00°, β = 90.00°, γ = 90.00°
Space group F-43m (No. 216)
Symmetry-distinct sites (fractional):
Be (0.0000, 0.0000, 0.0000) x4
Nb (0.2500, 0.2500, 0.7500) x4
Re (0.0000, 0.0000, 0.5000) x4
Pb (0.2500, 0.2500, 0.2500) x4

The value obtained for the energy above the most stable polymorph in this dataset is 0.000 eV per atom.



(10)
# BeNbPd2

A relaxed BeNbPd2 crystal (PBE, OQMD).

a = 2.8021 Å, b = 2.8021 Å, c = 7.0209 Å
α = 90.00°, β = 90.00°, γ = 90.00°
Space group P4/mmm (No. 123)
Symmetry-distinct sites (fractional):
Be (0.0000, 0.0000, 0.0000) x1
Nb (0.0000, 0.0000, 0.5000) x1
Pd (0.5000, 0.5000, 0.2028) x2

As for the calculated total energy: -6.51 eV/atom.



(11)
# BeNb2Pd

A relaxed BeNb2Pd crystal (PBE, OQMD).

a = 6.2835 Å, b = 6.2835 Å, c = 6.2835 Å
α = 90.00°, β = 90.00°, γ = 90.00°
Space group F-43m (No. 216)
Symmetry-distinct sites (fractional):
Be (0.0000, 0.0000, 0.0000) x4
Nb (0.0000, 0.0000, 0.5000) x4
Nb (0.2500, 0.2500, 0.7500) x4
Pd (0.2500, 0.2500, 0.2500) x4

As for the calculated total energy: -7.07 eV/atom.



(12)
# BeNbPd2

A relaxed BeNbPd2 crystal (PBE, OQMD).

a = 6.1394 Å, b = 6.1394 Å, c = 6.1394 Å
α = 90.00°, β = 90.00°, γ = 90.00°
Space group F-43m (No. 216)
Symmetry-distinct sites (fractional):
Be (0.0000, 0.0000, 0.0000) x4
Nb (0.2500, 0.2500, 0.2500) x4
Pd (0.0000, 0.0000, 0.5000) x4
Pd (0.2500, 0.2500, 0.7500) x4

As for the calculated total energy: -6.13 eV/atom.



(13)
# RbBeNbPd

A relaxed RbBeNbPd crystal (PBE, OQMD).

a = 6.5988 Å, b = 6.5988 Å, c = 6.5988 Å
α = 90.00°, β = 90.00°, γ = 90.00°
Space group F-43m (No. 216)
Symmetry-distinct sites (fractional):
Rb (0.0000, 0.0000, 0.0000) x4
Be (0.2500, 0.2500, 0.7500) x4
Nb (0.2500, 0.2500, 0.2500) x4
Pd (0.0000, 0.0000, 0.5000) x4

The value obtained for the energy above the most stable polymorph in this dataset is 0.000 eV per atom.



(14)
# RbBeNbPd

A relaxed RbBeNbPd crystal (PBE, OQMD).

a = 6.6296 Å, b = 6.6296 Å, c = 6.6296 Å
α = 90.00°, β = 90.00°, γ = 90.00°
Space group F-43m (No. 216)
Symmetry-distinct sites (fractional):
Rb (0.0000, 0.0000, 0.0000) x4
Be (0.0000, 0.0000, 0.5000) x4
Nb (0.2500, 0.2500, 0.7500) x4
Pd (0.2500, 0.2500, 0.2500) x4

The value obtained for the energy above the most stable polymorph in this dataset is 0.211 eV per atom.



(15)
# PmBeNb

A relaxed PmBeNb crystal (PBE, OQMD).

a = 6.6107 Å, b = 6.6107 Å, c = 6.6107 Å
α = 90.00°, β = 90.00°, γ = 90.00°
Space group F-43m (No. 216)
Symmetry-distinct sites (fractional):
Pm (0.0000, 0.0000, 0.0000) x4
Be (0.2500, 0.2500, 0.7500) x4
Nb (0.2500, 0.2500, 0.2500) x4

The value obtained for the energy above the most stable polymorph in this dataset is 0.901 eV per atom.



(16)
# PmBeNb

A relaxed PmBeNb crystal (PBE, OQMD).

a = 6.3167 Å, b = 6.3167 Å, c = 6.3167 Å
α = 90.00°, β = 90.00°, γ = 90.00°
Space group F-43m (No. 216)
Symmetry-distinct sites (fractional):
Pm (0.0000, 0.0000, 0.0000) x4
Be (0.2500, 0.2500, 0.7500) x4
Nb (0.0000, 0.0000, 0.5000) x4

The value obtained for the energy above the most stable polymorph in this dataset is 0.000 eV per atom.



(17)
# BeNbPt

A relaxed BeNbPt crystal (PBE, OQMD).

a = 5.9453 Å, b = 5.9453 Å, c = 5.9453 Å
α = 90.00°, β = 90.00°, γ = 90.00°
Space group F-43m (No. 216)
Symmetry-distinct sites (fractional):
Be (0.0000, 0.0000, 0.0000) x4
Nb (0.2500, 0.2500, 0.7500) x4
Pt (0.0000, 0.0000, 0.5000) x4

The value obtained for the energy above the most stable polymorph in this dataset is 0.922 eV per atom.



(18)
# Be2NbPt2

A relaxed Be2NbPt2 crystal (PBE, OQMD).

a = 6.9377 Å, b = 6.9377 Å, c = 2.7122 Å
α = 90.00°, β = 90.00°, γ = 90.00°
Space group P4/mbm (No. 127)
Symmetry-distinct sites (fractional):
Be (0.1191, 0.3809, 0.0000) x4
Nb (0.0000, 0.0000, 0.0000) x2
Pt (0.1729, 0.6729, 0.5000) x4

As for the calculated total energy: -6.53 eV/atom.



(19)
# Be2Nb2Pt

A relaxed Be2Nb2Pt crystal (PBE, OQMD).

a = 6.0495 Å, b = 6.0495 Å, c = 3.6856 Å
α = 90.00°, β = 90.00°, γ = 90.00°
Space group P4/mbm (No. 127)
Symmetry-distinct sites (fractional):
Be (0.1278, 0.3722, 0.0000) x4
Nb (0.1702, 0.6702, 0.5000) x4
Pt (0.0000, 0.0000, 0.0000) x2

As for the calculated total energy: -7.23 eV/atom.



(20)
# BeNbPt

A relaxed BeNbPt crystal (PBE, OQMD).

a = 6.4173 Å, b = 3.5630 Å, c = 7.2342 Å
α = 90.00°, β = 90.00°, γ = 90.00°
Space group Pnma (No. 62)
Symmetry-distinct sites (fractional):
Be (0.2242, 0.2500, 0.1268) x4
Nb (0.0204, 0.7500, 0.3327) x4
Pt (0.1513, 0.7500, 0.9320) x4

The value obtained for the energy above the most stable polymorph in this dataset is 0.000 eV per atom.



| no. | magnetization (Bohr magnetons per cell) |
| --- | --- |
| 1 | 1.90 |
| 2 | 0.75 |
| 3 | 0.03 |
| 4 | 7.17 |
| 5 | 5.29 |
| 6 | 0.05 |
| 7 | 2.82 |
| 8 | 0.87 |
| 9 | 0.01 |
| 10 | 0.00 |
| 11 | 0.10 |
| 12 | 0.02 |
| 13 | 0.02 |
| 14 | 0.08 |
| 15 | 8.59 |
| 16 | 0.04 |
| 17 | 0.06 |
| 18 | 0.07 |
| 19 | 0.00 |
| 20 | 0.01 |